Record 1
Compound: Pr3Ga2Pt7
Source: Alexandria via LeMat-Bulk
Functional: PBE
Structure: optimized geometry Values from VASP.

Results
Space-group type: Cmmm
Energy of formation: -0.79 eV/atom
Density of states at the Fermi level: 3.634 states/eV/f.u.

The structure in Quantum ESPRESSO input format:
```
&SYSTEM
  ibrav = 0, nat = 12, ntyp = 3
/
ATOMIC_SPECIES
Pr 140.91 Pr.upf
Pt 195.08 Pt.upf
Ga 69.72 Ga.upf
ATOMIC_POSITIONS angstrom
Pr 2.0638 2.0682 -0.3072
Pt 0.0000 2.6355 3.5127
Pt 0.0000 3.3260 8.1623
Pr 2.0638 2.9486 5.6210
Ga 0.0000 3.8922 11.9743
Pt 0.0000 0.0000 0.0000
Pt 2.0638 3.6819 10.5583
Pt 0.0000 1.6176 10.8919
Pr 2.0638 1.3044 8.7836
Pt 2.0638 0.5712 3.8462
Ga 0.0000 0.3609 2.4302
Pt 0.0000 0.9270 6.2423
CELL_PARAMETERS angstrom
4.1276 0.0000 0.0000
0.0000 4.1365 -0.6143
0.0000 0.1166 15.0189
```

Record 2
Compound: SrLi2MgAg
Source: Alexandria via LeMat-Bulk
Functional: PBE
Structure: optimized geometry Values from VASP.

Results
Space-group type: P4/mmm
Energy of formation: -0.03 eV/atom
Density of states at the Fermi level: 2.252 states/eV/f.u.

The structure in Quantum ESPRESSO input format:
```
&SYSTEM
  ibrav = 0, nat = 5, ntyp = 4
/
ATOMIC_SPECIES
Li 6.94 Li.upf
Sr 87.62 Sr.upf
Ag 107.87 Ag.upf
Mg 24.30 Mg.upf
ATOMIC_POSITIONS angstrom
Li 0.0000 2.5728 0.0000
Sr 2.5728 2.5728 2.6183
Ag 0.0000 0.0000 0.0000
Li 2.5728 0.0000 0.0000
Mg 0.0000 0.0000 2.6183
CELL_PARAMETERS angstrom
5.1455 0.0000 0.0000
0.0000 5.1455 0.0000
0.0000 0.0000 5.2367
```

Record 3
Compound: Hf3TaHg
Source: Alexandria via LeMat-Bulk
Functional: PBE
Structure: optimized geometry Values from VASP.

Results
Space-group type: Pm-3m
Energy of formation: 1.52 eV/atom
Density of states at the Fermi level: 9.240 states/eV/f.u.

The structure in Quantum ESPRESSO input format:
```
&SYSTEM
  ibrav = 0, nat = 5, ntyp = 3
/
ATOMIC_SPECIES
Hf 178.49 Hf.upf
Ta 180.95 Ta.upf
Hg 200.59 Hg.upf
ATOMIC_POSITIONS angstrom
Hf -0.2350 -1.5043 2.0568
Hf -1.3767 -1.6632 -1.3737
Ta -3.7560 -1.9349 1.3396
Hf -2.1443 1.2326 0.6565
Hg 0.0000 0.0000 0.0000
CELL_PARAMETERS angstrom
-4.2887 2.4653 1.3130
-2.7533 -3.3265 -2.7474
-0.4700 -3.0085 4.1137
```

Record 4
Compound: BaLuHg2
Source: Alexandria via LeMat-Bulk
Functional: PBE
Structure: optimized geometry Values from VASP.

Results
Space-group type: P4/mmm
Energy of formation: -0.45 eV/atom
Density of states at the Fermi level: 2.611 states/eV/f.u.

The structure in Quantum ESPRESSO input format:
```
&SYSTEM
  ibrav = 0, nat = 4, ntyp = 3
/
ATOMIC_SPECIES
Ba 137.33 Ba.upf
Hg 200.59 Hg.upf
Lu 174.97 Lu.upf
ATOMIC_POSITIONS angstrom
Ba -3.1618 -2.3263 -2.8913
Hg -5.6429 -3.1636 -0.3746
Lu 0.3703 -0.3460 -2.6569
Hg -1.4214 -0.7969 -0.0943
CELL_PARAMETERS angstrom
-0.9068 1.9890 -3.1390
1.6474 -2.6810 -2.1747
-7.0644 -3.9605 -0.4689
```

Record 5
Compound: GeCI2N
Source: Alexandria via LeMat-Bulk
Functional: PBE
Structure: optimized geometry Values from VASP.

Results
Space-group type: P4/mmm
Formation energy without anion corrections: 0.9771 eV per atom
Density of states at the Fermi level: 3.923 states/eV/f.u.

The structure in Quantum ESPRESSO input format:
```
&SYSTEM
  ibrav = 0, nat = 5, ntyp = 4
/
ATOMIC_SPECIES
C 12.01 C.upf
N 14.01 N.upf
I 126.90 I.upf
Ge 72.64 Ge.upf
ATOMIC_POSITIONS angstrom
C 0.0000 0.0000 0.0000
N 1.0462 -0.7615 0.2222
I -0.7155 0.1107 3.7487
I -2.1930 -3.1082 -0.3268
Ge -1.8624 -3.7590 3.6441
CELL_PARAMETERS angstrom
-1.4311 0.2214 7.4974
-4.3861 -6.2164 -0.6537
2.0924 -1.5231 0.4444
```

Record 6
Compound: MgAs4
Source: Alexandria via LeMat-Bulk
Functional: PBE
Structure: optimized geometry Values from VASP.

Results
Space-group type: Pm-3m
Energy of formation: 0.85 eV/atom
Density of states at the Fermi level: 5.933 states/eV/f.u.

The structure in Quantum ESPRESSO input format:
```
&SYSTEM
  ibrav = 0, nat = 5, ntyp = 2
/
ATOMIC_SPECIES
As 74.92 As.upf
Mg 24.30 Mg.upf
ATOMIC_POSITIONS angstrom
As 1.2429 -3.0591 1.1310
As 3.4408 -0.5852 0.0215
Mg 3.2029 -1.9075 2.0917
As 0.0000 0.0000 0.0000
As 1.7222 -0.1708 3.0309
CELL_PARAMETERS angstrom
-0.4757 -2.6447 4.1404
2.9614 -3.4735 -1.8785
3.9201 2.3031 1.9215
```

Record 7
Compound: Y3Ho4Tm4
Source: Alexandria via LeMat-Bulk
Functional: PBE
Structure: optimized geometry Values from VASP.

Results
Space-group type: Amm2
Energy of formation: 0.15 eV/atom
Density of states at the Fermi level: 17.210 states/eV/f.u.

The structure in Quantum ESPRESSO input format:
```
&SYSTEM
  ibrav = 0, nat = 11, ntyp = 3
/
ATOMIC_SPECIES
Tm 168.93 Tm.upf
Ho 164.93 Ho.upf
Y 88.91 Y.upf
ATOMIC_POSITIONS angstrom
Tm -1.3156 -0.9757 2.3515
Ho 4.0495 -3.1123 5.5327
Ho 5.8086 -0.6199 7.1192
Y 1.0315 -2.8426 0.1978
Tm 2.7707 -0.1695 1.8018
Ho 1.1769 -2.5362 3.7328
Y 4.0039 -3.6070 2.0316
Ho 0.3358 -5.5266 2.6681
Tm 2.9471 -0.0743 5.3214
Tm 6.0409 1.1835 4.1927
Y 7.2988 -2.2438 4.4405
CELL_PARAMETERS angstrom
-3.0539 -0.7866 4.6220
3.5610 -5.2121 -1.9211
7.9813 3.3022 5.8354
```

Record 8
Compound: TmPd6Au3
Source: Alexandria via LeMat-Bulk
Functional: PBE
Structure: optimized geometry Values from VASP.

Results
Space-group type: P2_1/m
Energy of formation: -0.36 eV/atom
Density of states at the Fermi level: 5.846 states/eV/f.u.

The structure in Quantum ESPRESSO input format:
```
&SYSTEM
  ibrav = 0, nat = 20, ntyp = 3
/
ATOMIC_SPECIES
Pd 106.42 Pd.upf
Au 196.97 Au.upf
Tm 168.93 Tm.upf
ATOMIC_POSITIONS angstrom
Pd -5.7313 -1.3437 7.8831
Au -5.6574 -4.1436 8.4789
Au -4.3410 -2.6726 3.2068
Pd -4.4893 0.0628 2.5642
Pd -1.0790 -0.0028 8.3144
Tm -2.5604 1.7530 3.5074
Pd -6.3166 -4.3929 2.0405
Pd -4.9182 -3.3369 5.8772
Au -2.9892 -1.6627 7.1209
Pd -1.7518 -0.2574 1.7465
Tm -6.8472 -5.0271 4.9340
Pd -8.3286 -3.2713 0.1270
Pd -3.6762 -1.9304 0.5583
Pd -3.0909 1.1188 6.4009
Pd -7.0743 -2.3466 3.9883
Au -6.4184 -1.6114 1.3205
Au -5.0665 -0.6015 5.2346
Pd -7.6558 -3.0167 6.6949
Pd -2.3333 -0.9275 4.4531
Au -3.7502 0.8695 -0.0375
CELL_PARAMETERS angstrom
-2.8153 3.1195 0.1675
-6.5385 -5.8527 -0.8985
-0.0537 -0.5409 9.1725
```

Record 9
Compound: CoAg3S
Source: Alexandria via LeMat-Bulk
Functional: PBE
Structure: optimized geometry Values from VASP.

Results
Space-group type: Pm-3m
Formation energy without anion corrections: 1.0488 eV per atom
Density of states at the Fermi level: 4.643 states/eV/f.u.

The structure in Quantum ESPRESSO input format:
```
&SYSTEM
  ibrav = 0, nat = 5, ntyp = 3
/
ATOMIC_SPECIES
Ag 107.87 Ag.upf
S 32.06 S.upf
Co 58.93 Co.upf
ATOMIC_POSITIONS angstrom
Ag -0.8845 -2.0672 0.8225
S 0.9907 -1.7547 3.6244
Ag -0.3257 0.9959 2.1527
Ag 2.2009 -0.6834 0.6491
Co 0.0000 0.0000 0.0000
CELL_PARAMETERS angstrom
-0.6513 1.9918 4.3055
-1.7690 -4.1344 1.6450
4.4017 -1.3668 1.2982
```

Record 10
Compound: NbCrSe4
Source: Alexandria via LeMat-Bulk
Functional: PBE
Structure: optimized geometry Values from VASP.

Results
Space-group type: P2_1/c
Formation energy without anion corrections: -0.5196 eV per atom
Density of states at the Fermi level: 1.718 states/eV/f.u.

The structure in Quantum ESPRESSO input format:
```
&SYSTEM
  ibrav = 0, nat = 12, ntyp = 3
/
ATOMIC_SPECIES
Se 78.96 Se.upf
Nb 92.91 Nb.upf
Cr 52.00 Cr.upf
ATOMIC_POSITIONS angstrom
Se -4.3143 0.6475 -0.6455
Se -0.9522 0.8083 -2.2091
Se -5.1314 2.4379 -3.6157
Nb -3.6030 2.8126 0.5223
Se -3.7844 -0.2283 -4.1939
Se -0.3536 -0.7544 -5.5084
Nb -2.7807 -0.9902 -1.9647
Se -2.2991 3.4745 -1.6309
Cr 0.0000 0.0000 0.0000
Se -1.7692 2.5987 -5.1793
Cr 0.3002 1.4238 -4.3824
Se -5.7299 4.0006 -0.3163
CELL_PARAMETERS angstrom
-0.5221 5.2267 -1.8954
1.1225 -2.3790 -6.8693
-6.6840 0.3985 2.9400
```

Record 11
Compound: Li3HoNp3S8
Source: Alexandria via LeMat-Bulk
Functional: PBE
Structure: optimized geometry Values from VASP.

Results
Space-group type: R-3m
Formation energy without anion corrections: -1.4668 eV per atom
Density of states at the Fermi level: 29.031 states/eV/f.u.

The structure in Quantum ESPRESSO input format:
```
&SYSTEM
  ibrav = 0, nat = 15, ntyp = 4
/
ATOMIC_SPECIES
S 32.06 S.upf
Np 237.00 Np.upf
Li 6.94 Li.upf
Ho 164.93 Ho.upf
ATOMIC_POSITIONS angstrom
S 1.3418 -4.2993 4.0294
Np 2.8865 -2.0433 4.1967
Li 0.0000 0.0000 0.0000
Ho 3.2394 -1.9933 0.2653
Li -3.3373 -1.2918 1.6659
Np 0.2550 -3.2350 -2.0001
S -1.6599 -5.5191 1.7744
S -1.8930 -2.3506 3.7639
S -1.5376 -2.2709 -0.1669
S 1.4641 -1.0510 2.0880
S 1.1091 -1.1014 6.0428
Np -0.0979 -3.2851 1.9312
S -1.3049 -5.4687 -2.1803
Li -2.9844 -1.2418 -2.2654
S 1.6972 -4.2195 0.0985
CELL_PARAMETERS angstrom
-0.7058 -0.1000 7.8628
-5.9688 -2.4835 -4.5309
6.4788 -3.9865 0.5306
```

Record 12
Compound: SrSn5Se7
Source: Alexandria via LeMat-Bulk
Functional: PBE
Structure: optimized geometry Values from VASP.

Results
Space-group type: Cmc2_1
Formation energy without anion corrections: -0.6642 eV per atom
Density of states at the Fermi level: 5.611 states/eV/f.u.

The structure in Quantum ESPRESSO input format:
```
&SYSTEM
  ibrav = 0, nat = 26, ntyp = 3
/
ATOMIC_SPECIES
Sr 87.62 Sr.upf
Se 78.96 Se.upf
Sn 118.71 Sn.upf
ATOMIC_POSITIONS angstrom
Sr 10.0460 -12.2964 9.8994
Se -2.6160 -5.1294 2.9862
Se 5.2177 -6.9991 7.9022
Se 3.6680 -6.1679 4.2240
Se 13.1319 -13.0153 11.8295
Sn 11.6113 -14.2270 13.9853
Sn 6.2337 -13.7537 8.3667
Se 9.2103 -13.9523 12.5869
Se -1.5533 -1.2972 2.1692
Se 6.8708 -11.9684 10.6011
Sn -1.0841 -3.9182 0.8367
Se 5.3164 -11.1384 6.9207
Se 1.7974 -8.8328 6.7182
Se 8.7345 -9.2954 8.1001
Sn 7.9031 -6.6654 6.6953
Se 1.3161 -4.1991 2.2368
Se 12.0808 -16.8468 12.6525
Se 10.4491 -9.9050 11.7871
Sn 9.4155 -16.4479 11.0661
Sn 6.1244 -9.5939 9.3350
Se 0.0811 -8.2358 3.0349
Sr 0.4966 -5.8547 4.9331
Sn -0.0026 -0.0051 0.0005
Sn 1.1110 -1.7018 3.7571
Sn 4.3034 -4.3826 6.4574
Sn 4.4103 -8.5434 5.4882
CELL_PARAMETERS angstrom
-1.9275 1.2943 3.5638
-3.3429 -6.1040 -2.1294
15.8067 -13.3260 13.3890
```

Record 13
Compound: La4PmY8
Source: Alexandria via LeMat-Bulk
Functional: PBE
Structure: optimized geometry Values from VASP.

Results
Space-group type: R-3m
Energy of formation: 0.54 eV/atom
Density of states at the Fermi level: 24.642 states/eV/f.u.

The structure in Quantum ESPRESSO input format:
```
&SYSTEM
  ibrav = 0, nat = 13, ntyp = 3
/
ATOMIC_SPECIES
La 138.91 La.upf
Pm 145.00 Pm.upf
Y 88.91 Y.upf
ATOMIC_POSITIONS angstrom
La 0.0000 0.0000 0.0000
Pm 3.5402 2.6950 5.1773
La 4.3077 3.2793 1.3481
Y 1.3863 4.7056 7.1730
Y 5.6942 0.6844 3.1817
Y 1.6992 1.2935 2.4849
Y 2.1756 5.3065 3.1817
Y 4.9048 0.0836 7.1730
La -0.3066 3.2793 4.5033
Y 5.3813 4.0965 7.8698
Y 6.1814 4.7056 3.8942
La 3.0793 -1.1685 4.5033
Y 0.8991 0.6844 6.4605
CELL_PARAMETERS angstrom
7.6936 -1.1685 1.3481
0.9218 7.7270 1.3481
-1.5350 -1.1685 7.6585
```

Record 14
Compound: Sc8Se6S
Source: Alexandria via LeMat-Bulk
Functional: PBE
Structure: optimized geometry Values from VASP.

Results
Space-group type: P-31m
Formation energy without anion corrections: -1.3946 eV per atom
Density of states at the Fermi level: 12.405 states/eV/f.u.

The structure in Quantum ESPRESSO input format:
```
&SYSTEM
  ibrav = 0, nat = 15, ntyp = 3
/
ATOMIC_SPECIES
Se 78.96 Se.upf
Sc 44.96 Sc.upf
S 32.06 S.upf
ATOMIC_POSITIONS angstrom
Se -2.5281 -0.1939 2.2622
Sc -2.1051 1.3646 -5.5011
Sc -7.0251 1.2311 -1.1658
S -1.2795 2.3844 0.4288
Sc -2.4266 0.2830 -0.4457
Se -3.1615 3.7664 -4.0941
Se -4.5975 2.3164 -0.3158
Sc -3.2290 2.6913 2.0417
Se -6.9237 1.7080 -3.8737
Sc -5.1997 0.1139 1.3649
Sc -4.2520 1.4002 -2.9764
Sc -7.3467 0.1494 3.8896
Se -6.2903 -2.2524 2.4826
Sc -6.2227 -1.1772 -3.6533
Se -4.8543 -0.8024 -1.2957
CELL_PARAMETERS angstrom
-2.5589 4.7688 0.8576
-2.0266 0.3054 -7.7459
-4.8662 -3.5601 5.2769
```

Record 15
Compound: As2P
Source: Alexandria via LeMat-Bulk
Functional: PBE
Structure: optimized geometry Values from VASP.

Results
Space-group type: Imma
Energy of formation: 0.39 eV/atom
Density of states at the Fermi level: 1.267 states/eV/f.u.

The structure in Quantum ESPRESSO input format:
```
&SYSTEM
  ibrav = 0, nat = 6, ntyp = 2
/
ATOMIC_SPECIES
As 74.92 As.upf
P 30.97 P.upf
ATOMIC_POSITIONS angstrom
As 0.0000 2.5518 4.7468
As 0.0000 2.5518 0.8723
P 0.0000 0.8506 8.4300
As 1.5665 -0.8506 7.3906
As 1.5665 -0.8506 11.2651
P 1.5665 0.8506 3.7073
CELL_PARAMETERS angstrom
-1.5665 1.7012 12.1374
1.5665 -1.7012 12.1374
1.5665 1.7012 -12.1374
```